No. 1
The following is a PBE calculation of a relaxed structure of SrMg2GaNi2, from Alexandria via LeMat-Bulk.

The formation energy is -0.134 eV per atom. Its density is 4.133 Mg/m³. Its uncorrected energy is -3.3771 eV per atom. For the total moment, the calculation gives 0.0 Bohr magnetons per cell. The calculation puts the density of states at the Fermi level at 0.895 states/eV per atom.

a = 4.559 Å, b = 4.559 Å, c = 6.250 Å
α = 90.00°, β = 90.00°, γ = 90.00°
Sites, in units of the cell vectors:
Sr  0.000  0.000  0.500
Mg  0.500  0.500  0.769
Mg  0.500  0.500  0.231
Ni  0.500  0.000  0.000
Ni  0.000  0.500  0.000
Ga  0.000  0.000  0.000

No. 2
The following is a PBE calculation of a relaxed structure of Ac7Ga2Ir2, from Alexandria via LeMat-Bulk.

The polymorph energy (0 for the lowest one) comes out at 0 meV/atom. The formation energy is -0.422 eV per atom. Its density is 9.575 Mg/m³. Its uncorrected energy is -5.1980 eV per atom. For the total moment, the calculation gives 0.0 Bohr magnetons per cell. The calculation puts the density of states at the Fermi level at 0.966 states/eV per atom.

a = 4.586 Å, b = 9.732 Å, c = 9.732 Å
α = 61.31°, β = 76.37°, γ = 76.37°
Sites, in units of the cell vectors:
Ac  0.181  0.702  0.935
Ac  0.394  0.715  0.497
Ac  0.121  0.161  0.597
Ac  0.819  0.065  0.298
Ac  0.879  0.403  0.839
Ac  0.500  0.998  0.002
Ac  0.606  0.503  0.285
Ga  0.265  0.322  0.148
Ga  0.735  0.852  0.678
Ir  0.500  0.340  0.660
Ir  0.000  0.791  0.209

No. 3
The following is a PBE calculation of a relaxed structure of AlZnP2, from Alexandria via LeMat-Bulk.

The polymorph energy (0 for the lowest one) comes out at 510 meV/atom. The formation energy is 0.285 eV per atom. Its density is 4.151 Mg/m³. Its uncorrected energy is -3.6737 eV per atom. For the total moment, the calculation gives 0.0 Bohr magnetons per cell. The calculation puts the density of states at the Fermi level at 0.445 states/eV per atom.

a = 4.436 Å, b = 4.436 Å, c = 4.436 Å
α = 60.00°, β = 60.00°, γ = 60.00°
Sites, in units of the cell vectors:
Al  0.000  0.000  0.000
Zn  0.500  0.500  0.500
P  0.750  0.750  0.750
P  0.250  0.250  0.250